Run 1
A crystal of KLiW2 relaxed with PBEsol. Source: the Alexandria database, functional meta-GGA SCAN.

Cell lengths 2.8113, 2.8113, 10.6858 Å; angles 90.00, 90.00, 110.88 degrees
Closest atoms and distances in Å follow each position.
Positions (direct):
Li 0.5000 0.5000 0.2019  2 W 2.79, 4 Li 2.81
K 0.0000 0.0000 0.5133  4 K 2.81
W 0.0000 0.0000 0.9878  6 W 2.59-2.81, 2 Li 2.79
W 0.5000 0.5000 0.7969  6 W 2.59-2.81

Properties
The size of the total moment comes out at 0.012 μB per formula unit. The space group is No. 35. Its crystal system is orthorhombic.

Run 2
A crystal of KLiW2 relaxed with PBEsol. Source: the Alexandria database, functional meta-GGA SCAN.

Cell lengths 2.6535, 2.6535, 11.1482 Å; angles 90.00, 90.00, 112.64 degrees
Closest atoms and distances in Å follow each position.
Positions (direct):
K 0.5000 0.5000 0.5000  6 K 2.65-2.94
W 0.0000 0.0000 0.7798  6 W 2.65-2.94, 2 Li 2.86
W 0.0000 0.0000 0.2202  6 W 2.65-2.94, 2 Li 2.86
Li 0.5000 0.5000 0.0000  6 Li 2.65-2.94, 4 W 2.86

Properties
The size of the total moment comes out at 0.000 μB per formula unit. The space group is No. 65. Its crystal system is orthorhombic.

It comes down to run 1, which is 28.0 kJ/mol of atoms more stable than the next structure.

Run 1
A crystal of KLiW2 relaxed with PBEsol. Source: the Alexandria database, functional meta-GGA SCAN.

Cell lengths 2.6008, 2.6008, 10.8083 Å; angles 90.00, 90.00, 90.00 degrees
Closest atoms and distances in Å follow each position.
Positions (direct):
K 0.5000 0.5000 0.0000  4 K 2.60
W 0.0000 0.0000 0.7139  4 W 2.60
W 0.0000 0.0000 0.2861  4 W 2.60
Li 0.5000 0.5000 0.5000  4 Li 2.60

Properties
The size of the total moment comes out at 0.000 μB per formula unit. The space group is No. 123. Its crystal system is tetragonal.

Run 2
A crystal of KLiW2 relaxed with PBEsol. Source: the Alexandria database, functional meta-GGA SCAN.

Cell lengths 3.2599, 3.2599, 8.6617 Å; angles 90.00, 90.00, 90.00 degrees
Closest atoms and distances in Å follow each position.
Positions (direct):
W 0.5000 0.5000 0.1582  4 W 2.56, 1 Li 2.85
W 0.0000 0.0000 0.0288  4 W 2.56
Li 0.5000 0.5000 0.8289  5 W 2.85-2.88
K 0.0000 0.0000 0.4841  4 K 3.26, 4 W 3.64

Properties
The size of the total moment comes out at 0.109 μB per formula unit. The space group is No. 99. Its crystal system is tetragonal.

Run 3
A crystal of KLiW2 relaxed with PBEsol. Source: the Alexandria database, functional meta-GGA SCAN.

Cell lengths 2.6803, 4.1319, 8.0441 Å; angles 90.00, 99.94, 90.00 degrees
Closest atoms and distances in Å follow each position.
Positions (direct):
W 0.9460 0.0000 0.0134  4 W 2.55-2.68, 2 Li 2.76
W 0.6968 0.5000 0.1660  4 W 2.55-2.68, 1 Li 2.72
K 0.5793 0.0000 0.4870  2 K 2.68
Li 0.2780 0.5000 0.8336  2 Li 2.68, 5 W 2.72-2.94

Properties
The size of the total moment comes out at 0.000 μB per formula unit. The space group is No. 6. Its crystal system is monoclinic.

It comes down to run 2, which is 4.6 kJ/mol of atoms more stable than the next structure.

Run 1
A crystal of KLi2W relaxed with PBEsol. Source: the Alexandria database, functional meta-GGA SCAN.

Cell lengths 2.5809, 5.0435, 7.0406 Å; angles 92.02, 90.00, 104.82 degrees
Closest atoms and distances in Å follow each position.
Positions (direct):
K 0.0000 0.0000 0.5000  2 K 2.58
W 0.5000 0.0000 0.0000  2 W 2.58, 6 Li 2.83-2.87
Li 0.2396 0.4791 0.1634  4 Li 2.58-2.65, 3 W 2.83-2.87
Li 0.7604 0.5209 0.8366  4 Li 2.58-2.65, 3 W 2.83-2.87

Properties
The size of the total moment comes out at 0.157 μB per formula unit. The space group is No. 12. Its crystal system is monoclinic.

Run 2
A crystal of KLi2W relaxed with PBEsol. Source: the Alexandria database, functional meta-GGA SCAN.

Cell lengths 2.7557, 2.7557, 10.4203 Å; angles 90.00, 90.00, 90.00 degrees
Closest atoms and distances in Å follow each position.
Positions (direct):
W 0.0000 0.0000 0.4562  4 W 2.76, 4 Li 2.80
Li 0.5000 0.5000 0.2634  8 Li 2.76-2.98, 4 W 2.80
Li 0.0000 0.0000 0.0472  8 Li 2.76-2.98
K 0.5000 0.5000 0.7331  4 K 2.76

Properties
The size of the total moment comes out at 0.086 μB per formula unit. The space group is No. 99. Its crystal system is tetragonal.

It comes down to run 2, which is 12.5 kJ/mol of atoms more stable than the next structure.

Run 1
A crystal of KLi2W relaxed with PBEsol. Source: the Alexandria database, functional meta-GGA SCAN.

Cell lengths 2.7471, 2.7471, 11.4444 Å; angles 90.00, 90.00, 108.95 degrees
Closest atoms and distances in Å follow each position.
Positions (direct):
Li 0.0000 0.0000 0.7016  4 Li 2.75, 2 W 2.81
Li 0.0000 0.0000 0.2984  4 Li 2.75, 2 W 2.81
K 0.5000 0.5000 0.0000  4 K 2.75
W 0.5000 0.5000 0.5000  4 W 2.75, 4 Li 2.81

Properties
The size of the total moment comes out at 0.026 μB per formula unit. The space group is No. 65. Its crystal system is orthorhombic.

Run 2
A crystal of KLi2W relaxed with PBEsol. Source: the Alexandria database, functional meta-GGA SCAN.

Cell lengths 2.5828, 5.5073, 5.8064 Å; angles 90.82, 90.00, 103.56 degrees
Closest atoms and distances in Å follow each position.
Positions (direct):
Li 0.9974 0.9949 0.9847  2 Li 2.58, 2 W 2.88
Li 0.7595 0.5190 0.3020  2 Li 2.58
W 0.4976 0.9953 0.4275  2 W 2.58, 2 Li 2.88
K 0.2454 0.4909 0.7858  2 K 2.58

Properties
The size of the total moment comes out at 0.815 μB per formula unit. The space group is No. 8. Its crystal system is monoclinic.

Run 3
A crystal of KLi2W relaxed with PBEsol. Source: the Alexandria database, functional meta-GGA SCAN.

Cell lengths 2.7611, 2.7611, 10.6925 Å; angles 90.00, 90.00, 90.00 degrees
Closest atoms and distances in Å follow each position.
Positions (direct):
K 0.5000 0.5000 0.5000  4 K 2.76
Li 0.0000 0.0000 0.8055  4 Li 2.76, 4 W 2.85
Li 0.0000 0.0000 0.1945  4 Li 2.76, 4 W 2.85
W 0.5000 0.5000 0.0000  4 W 2.76, 8 Li 2.85

Properties
The size of the total moment comes out at 0.109 μB per formula unit. The space group is No. 123. Its crystal system is tetragonal.

It comes down to run 1, which is 0.9 kJ/mol of atoms more stable than the next structure.

Run 1
A crystal of KLiZn2 relaxed with PBEsol. Source: the Alexandria database, functional meta-GGA SCAN.

Cell lengths 3.0927, 5.5983, 5.5983 Å; angles 105.54, 90.00, 90.00 degrees
Closest atoms and distances in Å follow each position.
Positions (direct):
Li 0.5000 0.5000 0.5000  2 Li 3.09, 8 Zn 3.20, 2 K 3.39
K 0.5000 0.0000 0.0000  2 K 3.09, 8 Zn 3.20, 2 Li 3.39
Zn 0.0000 0.0000 0.5000  4 Zn 3.09-3.39, 4 Li 3.20, 4 K 3.20
Zn 0.0000 0.5000 0.0000  4 Zn 3.09-3.39, 4 K 3.20, 4 Li 3.20

Properties
The size of the total moment comes out at 0.000 μB per formula unit. The space group is No. 65. Its crystal system is orthorhombic.

Run 2
A crystal of KLiZn2 relaxed with PBEsol. Source: the Alexandria database, functional meta-GGA SCAN.

Cell lengths 3.1643, 3.5893, 8.2765 Å; angles 90.00, 90.00, 90.00 degrees
Closest atoms and distances in Å follow each position.
Positions (direct):
Zn 0.5000 0.5000 0.1628  4 Zn 2.63, 1 Li 2.65
Zn 0.0000 0.0000 0.0300  4 Zn 2.63, 4 Li 2.85
Li 0.5000 0.5000 0.8432  5 Zn 2.65-2.85
K 0.0000 0.0000 0.4640  2 K 3.16, 4 Zn 3.46

Properties
The size of the total moment comes out at 0.020 μB per formula unit. The space group is No. 25. Its crystal system is orthorhombic.

It comes down to run 2, which is 16.2 kJ/mol of atoms more stable than the next structure.

Run 1
A crystal of K2LiZr relaxed with PBEsol. Source: the Alexandria database, functional meta-GGA SCAN.

Cell lengths 3.2787, 3.4556, 12.0572 Å; angles 89.84, 90.00, 90.00 degrees
Closest atoms and distances in Å follow each position.
Positions (direct):
K 0.0000 0.9963 0.9597  4 K 3.28-3.46
K 0.5000 0.5030 0.3043  4 K 3.28-3.46
Li 0.0000 0.0013 0.5389  4 Zr 3.05, 2 Li 3.28
Zr 0.5000 0.4994 0.6972  4 Li 3.05, 2 Zr 3.28

Properties
The size of the total moment comes out at 2.009 μB per formula unit. The space group is No. 6. Its crystal system is monoclinic.

Run 2
A crystal of K2LiZr relaxed with PBEsol. Source: the Alexandria database, functional meta-GGA SCAN.

Cell lengths 6.1042, 6.1042, 6.1042 Å; angles 60.00, 60.00, 60.00 degrees
Closest atoms and distances in Å follow each position.
Positions (direct):
Zr 0.5000 0.5000 0.5000  8 K 3.74
Li 0.0000 0.0000 0.0000  8 K 3.74
K 0.2500 0.2500 0.2500  4 Li 3.74, 4 Zr 3.74
K 0.7500 0.7500 0.7500  4 Li 3.74, 4 Zr 3.74

Properties
The size of the total moment comes out at 4.002 μB per formula unit. The space group is No. 225. Its crystal system is cubic.

Run 3
A crystal of K2LiZr relaxed with PBEsol. Source: the Alexandria database, functional meta-GGA SCAN.

Cell lengths 3.3754, 3.3754, 13.3815 Å; angles 82.75, 82.75, 60.00 degrees
Closest atoms and distances in Å follow each position.
Positions (direct):
Li 0.0000 0.0000 0.0000  6 Li 3.38
Zr 0.5000 0.5000 0.5000  6 Zr 3.38
K 0.7501 0.7501 0.7496  6 K 3.38
K 0.2499 0.2499 0.2504  6 K 3.38

Properties
The size of the total moment comes out at 1.365 μB per formula unit. The space group is No. 166. Its crystal system is trigonal.

It comes down to run 1, which is 5.6 kJ/mol of atoms more stable than the next structure.

Run 1
A crystal of KLi2Zr relaxed with PBEsol. Source: the Alexandria database, functional meta-GGA SCAN.

Cell lengths 4.3425, 4.3425, 6.4201 Å; angles 109.77, 109.77, 90.00 degrees
Closest atoms and distances in Å follow each position.
Positions (direct):
Li 0.0000 0.0000 0.0000  4 Zr 3.07
Li 0.7500 0.2500 0.5000  4 K 3.07
K 0.2500 0.7500 0.5000  4 Li 3.07
Zr 0.5000 0.5000 0.0000  4 Li 3.07

Properties
The size of the total moment comes out at 2.525 μB per formula unit. The space group is No. 119. Its crystal system is tetragonal.

Run 2
A crystal of KLi2Zr relaxed with PBEsol. Source: the Alexandria database, functional meta-GGA SCAN.

Cell lengths 3.1360, 3.1360, 11.7193 Å; angles 90.00, 90.00, 113.77 degrees
Closest atoms and distances in Å follow each position.
Positions (direct):
K 0.5000 0.5000 0.0000  6 K 3.14-3.43
Li 0.0000 0.0000 0.7167  2 Zr 3.06, 6 Li 3.14-3.43
Li 0.0000 0.0000 0.2833  2 Zr 3.06, 6 Li 3.14-3.43
Zr 0.5000 0.5000 0.5000  4 Li 3.06, 6 Zr 3.14-3.43

Properties
The size of the total moment comes out at 0.661 μB per formula unit. The space group is No. 65. Its crystal system is orthorhombic.

It comes down to run 2, which is 34.7 kJ/mol of atoms more stable than the next structure.

Run 1
A crystal of KMg2Ni relaxed with PBEsol. Source: the Alexandria database, functional meta-GGA SCAN.

Cell lengths 3.2830, 3.2830, 10.2266 Å; angles 80.76, 80.76, 60.00 degrees
Closest atoms and distances in Å follow each position.
Positions (direct):
Mg 0.2244 0.2244 0.3269  3 Ni 2.57
Mg 0.7756 0.7756 0.6731  3 Ni 2.57
K 0.0000 0.0000 0.0000  6 K 3.28
Ni 0.5000 0.5000 0.5000  6 Mg 2.57

Properties
The size of the total moment comes out at 0.001 μB per formula unit. The space group is No. 166. Its crystal system is trigonal.

Run 2
A crystal of KMg2Ni relaxed with PBEsol. Source: the Alexandria database, functional meta-GGA SCAN.

Cell lengths 3.4581, 3.4581, 8.1928 Å; angles 90.00, 90.00, 90.00 degrees
Closest atoms and distances in Å follow each position.
Positions (direct):
Mg 0.5000 0.5000 0.3116  4 Ni 2.55
Mg 0.0000 0.0000 0.0807  1 Ni 2.60
Ni 0.0000 0.0000 0.3979  5 Mg 2.55-2.60
K 0.5000 0.5000 0.7098  1 Mg 3.26, 4 K 3.46, 4 Ni 3.54

Properties
The size of the total moment comes out at 0.000 μB per formula unit. The space group is No. 99. Its crystal system is tetragonal.

It comes down to run 2, which is 9.3 kJ/mol of atoms more stable than the next structure.